Record 1
Compound: Np4Ta3NbN8
Source: the Alexandria database
Functional: PBE
Structure: relaxed

- formation energy without anion corrections (eV per atom) = -1.150
- magnetization (μB per cell) = 11.7
- space group = R-3m
- calculated total energy (eV per atom) = -11.399

abc: 6.502 6.573 6.502
angles: 119.64 120.00 90.00
Last column: magnetic moment on the atom in μB.
Positions (direct):
Np  0.500  0.000  0.000  2.93
Np  0.500  0.000  0.500  3.01
Np  0.000  0.000  0.000  3.01
Np  0.000  0.000  0.500  3.01
Ta  0.500  0.500  0.000  -0.08
Ta  0.500  0.500  0.500  -0.08
Ta  0.000  0.500  0.500  -0.08
Nb  0.000  0.500  0.000  -0.20
N  0.244  0.723  0.979  -0.05
N  0.244  0.723  0.488  -0.05
N  0.260  0.280  0.520  -0.04
N  0.736  0.723  0.979  -0.05
N  0.264  0.277  0.021  -0.05
N  0.740  0.720  0.480  -0.04
N  0.756  0.277  0.512  -0.05
N  0.756  0.277  0.021  -0.05

---

Record 2
Compound: SrHfGeI2
Source: the Alexandria database
Functional: PBE
Structure: relaxed

- formation energy without anion corrections (eV per atom) = 0.213
- magnetization (μB per cell) = 1.3
- E above lowest polymorph (eV per formula unit) = 2.57
- space group = P4/mmm
- calculated total energy (eV per atom) = -3.657

abc: 5.881 5.373 5.881
angles: 90.00 90.00 90.00
Last column: magnetic moment on the atom in μB.
Positions (direct):
I  0.000  0.000  0.500  0.01
I  0.500  0.000  0.000  0.01
Sr  0.500  0.500  0.500  0.05
Ge  0.000  0.000  0.000  0.00
Hf  0.000  0.500  0.000  0.57

---

Record 3
Compound: Ba3Tm3AgTe8
Source: the Alexandria database
Functional: PBE
Structure: relaxed

- formation energy without anion corrections (eV per atom) = -1.297
- magnetization (μB per cell) = 0.0
- space group = R-3m
- calculated total energy (eV per atom) = -4.441

abc: 9.060 9.058 9.399
angles: 118.79 90.00 120.00
Positions (direct):
Ba  0.000  0.000  0.000
Ba  0.000  0.500  0.000
Ba  0.500  0.500  0.000
Tm  0.500  0.000  0.500
Tm  0.500  0.500  0.500
Tm  0.000  0.500  0.500
Ag  0.000  0.000  0.500
Te  0.262  0.524  0.286
Te  0.738  0.476  0.714
Te  0.757  0.513  0.287
Te  0.243  0.487  0.713
Te  0.756  0.031  0.287
Te  0.244  0.969  0.713
Te  0.274  0.031  0.287
Te  0.726  0.969  0.713

---

Record 4
Compound: Al5Ga3Ag2
Source: the Alexandria database
Functional: PBE
Structure: relaxed

- magnetization (μB per cell) = 0.0
- ΔE_f (eV per atom) = 0.15
- space group = Ibam
- calculated total energy (eV per atom) = -3.203

abc: 5.751 8.619 8.619
angles: 86.09 70.51 70.51
Positions (direct):
Al  0.383  0.266  0.967
Al  0.883  0.967  0.266
Al  0.617  0.734  0.033
Al  0.117  0.033  0.734
Al  0.496  0.754  0.754
Al  0.504  0.246  0.246
Al  0.750  0.500  0.500
Al  0.250  0.500  0.500
Al  0.004  0.246  0.246
Al  0.996  0.754  0.754
Ga  0.375  0.483  0.767
Ga  0.875  0.767  0.483
Ga  0.625  0.517  0.233
Ga  0.125  0.233  0.517
Ga  0.250  0.000  0.000
Ga  0.750  0.000  0.000
Ag  0.135  0.620  0.111
Ag  0.635  0.111  0.620
Ag  0.865  0.380  0.889
Ag  0.365  0.889  0.380

---

Record 5
Compound: K2NaZrI6
Source: the Alexandria database
Functional: PBE
Structure: relaxed

- formation energy without anion corrections (eV per atom) = -1.122
- magnetization (μB per cell) = 2.0
- space group = R-3m
- calculated total energy (eV per atom) = -3.258

abc: 8.353 8.353 15.838
angles: 74.71 74.71 60.00
Last column: magnetic moment on the atom in μB.
Positions (direct):
K  0.858  0.858  0.426  0.00
K  0.142  0.142  0.574  0.00
K  0.689  0.689  0.933  0.00
K  0.311  0.311  0.067  0.00
Na  0.583  0.583  0.251  0.00
Na  0.417  0.417  0.749  0.00
Zr  0.000  0.000  0.000  0.69
Zr  0.500  0.500  0.500  0.69
I  0.870  0.371  0.388  0.00
I  0.371  0.870  0.388  0.00
I  0.371  0.371  0.388  0.00
I  0.130  0.629  0.612  0.00
I  0.629  0.130  0.612  0.00
I  0.629  0.629  0.612  0.00
I  0.709  0.202  0.887  -0.01
I  0.202  0.709  0.887  -0.01
I  0.202  0.202  0.887  -0.01
I  0.291  0.798  0.113  -0.01
I  0.798  0.291  0.113  -0.01
I  0.798  0.798  0.113  -0.01

---

Record 6
Compound: PmTlCuS2
Source: the Alexandria database
Functional: PBE
Structure: relaxed

- formation energy without anion corrections (eV per atom) = -0.814
- magnetization (μB per cell) = 0.0
- space group = P2/c
- calculated total energy (eV per atom) = -4.708

abc: 5.725 6.157 7.896
angles: 105.58 90.00 90.00
Positions (direct):
Pm  0.511  0.000  0.250
Pm  0.489  0.000  0.750
Tl  0.185  0.500  0.750
Tl  0.815  0.500  0.250
Cu  0.000  0.000  0.000
Cu  0.000  0.000  0.500
S  0.718  0.753  0.943
S  0.718  0.247  0.557
S  0.282  0.753  0.443
S  0.282  0.247  0.057

---

Record 7
Compound: KTiCoN2
Source: the Alexandria database
Functional: PBE
Structure: relaxed

- formation energy without anion corrections (eV per atom) = 1.660
- magnetization (μB per cell) = 1.4
- space group = P4/mmm
- calculated total energy (eV per atom) = -4.890

abc: 3.915 4.394 3.915
angles: 90.00 90.00 90.00
Last column: magnetic moment on the atom in μB.
Positions (direct):
K  0.000  0.500  0.000  -0.01
N  0.000  0.000  0.500  0.19
N  0.500  0.000  0.000  0.32
Co  0.000  0.000  0.000  1.24
Ti  0.500  0.500  0.500  -0.43